Below is a relaxed structure of Tm3CdPt12, with properties calculated at the PBE level.

a b c (Å): 4.0825 4.0825 16.2906
angles (deg): 90.00 90.00 90.00
Fractional positions:
Tm  0.0000  0.0000  0.2484
Tm  0.0000  0.0000  0.5000
Tm  0.0000  0.0000  0.7516
Cd  0.0000  0.0000  0.0000
Pt  0.5000  0.5000  0.0000
Pt  0.5000  0.5000  0.2485
Pt  0.5000  0.5000  0.5000
Pt  0.5000  0.5000  0.7515
Pt  0.5000  0.0000  0.1234
Pt  0.5000  0.0000  0.3743
Pt  0.5000  0.0000  0.6257
Pt  0.5000  0.0000  0.8766
Pt  0.0000  0.5000  0.1234
Pt  0.0000  0.5000  0.3743
Pt  0.0000  0.5000  0.6257
Pt  0.0000  0.5000  0.8766

Properties
calculated formation energy	-861	meV per atom
DOS at the Fermi energy	15.40	states/eV per cell
magnetization	0.00	μB per formula unit
mass density	18.10	g/cm³


Below is a relaxed structure of Tm6CdPt2, with properties calculated at the PBE level.

a b c (Å): 8.4318 8.4318 8.4318
angles (deg): 104.20 111.28 113.06
Fractional positions:
Tm  0.5280  0.7111  0.8168
Tm  0.4720  0.2889  0.1832
Tm  0.1057  0.2889  0.8168
Tm  0.8943  0.7111  0.1832
Tm  0.8001  0.7615  0.5617
Tm  0.1999  0.2385  0.4383
Tm  0.1999  0.7615  0.9614
Tm  0.8001  0.2385  0.0386
Tm  0.6994  0.3695  0.6700
Tm  0.3006  0.6305  0.3300
Tm  0.3006  0.9706  0.6700
Tm  0.6994  0.0294  0.3300
Cd  0.0000  0.5000  0.5000
Cd  0.0000  0.0000  0.0000
Pt  0.5000  0.3647  0.8647
Pt  0.5000  0.6353  0.1353
Pt  0.6625  0.0000  0.6625
Pt  0.3375  0.0000  0.3375

Properties
calculated formation energy	-715	meV per atom
DOS at the Fermi energy	18.50	states/eV per cell
magnetization	0.00	μB per formula unit
mass density	10.98	g/cm³


Below is a relaxed structure of Tm7Cd2Pt2, with properties calculated at the PBE level.

a b c (Å): 6.7463 7.0438 6.7463
angles (deg): 90.00 106.28 90.00
Fractional positions:
Tm  0.9998  0.2538  0.5003
Tm  0.5003  0.7462  0.9998
Tm  0.0002  0.7462  0.4997
Tm  0.4997  0.2538  0.0002
Tm  0.0000  0.0000  0.0000
Tm  0.5002  0.7526  0.4998
Tm  0.4998  0.2474  0.5002
Cd  0.8240  0.5000  0.8240
Cd  0.1760  0.5000  0.1760
Pt  0.7131  0.0000  0.2869
Pt  0.2869  0.0000  0.7131

Properties
calculated formation energy	-494	meV per atom
DOS at the Fermi energy	10.88	states/eV per cell
magnetization	0.00	μB per formula unit
mass density	9.70	g/cm³